Mg2GeSN | GGA-PBE | optimized geometry

extended XYZ file:
```
5
Lattice="4.6274 0.0000 0.0000 0.0000 4.6274 0.0000 0.0000 0.0000 4.9068" Properties=species:S:1:pos:R:3 pbc="T T T"
Mg 0.0000 2.3137 0.0000
Mg 2.3137 0.0000 0.0000
Ge 0.0000 0.0000 2.4534
S 0.0000 0.0000 0.0000
N 2.3137 2.3137 2.4534
```

ΔE_f (raw): 895 meV/atom

Y2Cr | GGA-PBE | optimized geometry

extended XYZ file:
```
6
Lattice="1.8413 -8.1047 0.0000 1.8413 8.1047 0.0000 0.0000 0.0000 5.2442" Properties=species:S:1:pos:R:3 pbc="T T T"
Y 1.8413 6.8614 3.9331
Y 1.8413 4.5044 1.3110
Y 1.8413 -4.5044 3.9331
Y 1.8413 -6.8614 1.3110
Cr 1.8413 1.1856 3.9331
Cr 1.8413 -1.1856 1.3110
```

Energy of formation: 0.28 eV per atom

LaDy4Lu | GGA-PBE | optimized geometry

extended XYZ file:
```
6
Lattice="0.0000 4.6616 4.6616 4.6616 0.0000 4.6616 4.6616 4.6616 0.0000" Properties=species:S:1:pos:R:3 pbc="T T T"
La 0.0000 0.0000 0.0000
Dy 5.8231 3.5001 3.5001
Dy 3.5001 5.8231 3.5001
Dy 3.5001 3.5001 5.8231
Dy 5.8231 5.8231 5.8231
Lu 2.3308 2.3308 2.3308
```

Energy of formation: 0.27 eV per atom

ReNi2Te | GGA-PBE | optimized geometry

extended XYZ file:
```
8
Lattice="-3.4449 3.4449 2.6230 3.4449 -3.4449 2.6230 3.4449 3.4449 -2.6230" Properties=species:S:1:pos:R:3 pbc="T T T"
Re 0.0000 0.0000 0.0000
Re 0.0000 3.4449 1.3115
Ni 5.1673 1.7027 -0.6558
Ni 1.7027 1.7224 0.6558
Ni -1.7224 1.7422 1.9673
Ni 1.7422 1.7224 3.2788
Te 3.4449 0.0000 1.3115
Te 0.0000 0.0000 2.6230
```

ΔE_f (raw): 579 meV/atom

NdAl6Cu | GGA-PBE | optimized geometry

extended XYZ file:
```
8
Lattice="3.1736 1.8323 4.6528 -3.1736 1.8323 4.6528 0.0000 -3.6645 4.6528" Properties=species:S:1:pos:R:3 pbc="T T T"
Nd 0.0000 0.0000 0.0000
Al -1.8548 -1.0709 5.9626
Al 0.0000 -2.1417 7.9957
Al -1.8548 1.0709 7.9957
Al 1.8548 -1.0709 5.9627
Al 0.0000 2.1417 5.9627
Al 1.8548 1.0709 7.9956
Cu 0.0000 0.0000 6.9791
```

Energy of formation: -0.06 eV per atom

K3NbP | GGA-PBE | optimized geometry

extended XYZ file:
```
5
Lattice="6.2152 0.0000 0.0000 0.0000 6.2152 0.0000 0.0000 0.0000 6.2152" Properties=species:S:1:pos:R:3 pbc="T T T"
K 0.0000 0.0000 3.1076
K 0.0000 3.1076 0.0000
K 3.1076 0.0000 0.0000
Nb 3.1076 3.1076 3.1076
P 0.0000 0.0000 0.0000
```

Energy of formation: 1.04 eV per atom
Energy above the most stable polymorph in this dataset: 0.000 eV/atom

Ca2Hg2Au | GGA-PBE | optimized geometry

extended XYZ file:
```
5
Lattice="-2.9948 2.9948 4.0904 2.9948 -2.9948 4.0904 2.9948 2.9948 -4.0904" Properties=species:S:1:pos:R:3 pbc="T T T"
Ca 2.9948 0.0000 2.0452
Ca 0.0000 2.9948 2.0452
Hg 0.0000 0.0000 1.3429
Hg 0.0000 0.0000 6.8378
Au 0.0000 0.0000 4.0904
```

Energy of formation: -0.30 eV per atom
Energy above the most stable polymorph in this dataset: 0.217 eV/atom

HPdAuSe2 | GGA-PBE | optimized geometry

extended XYZ file:
```
5
Lattice="4.8655 0.0000 0.0000 0.0000 4.8655 0.0000 0.0000 0.0000 5.2615" Properties=species:S:1:pos:R:3 pbc="T T T"
H 0.0000 0.0000 0.0000
Pd 2.4328 2.4328 2.6307
Au 2.4328 2.4328 0.0000
Se 0.0000 2.4328 2.6307
Se 2.4328 0.0000 2.6307
```

Electronic total energy: -2.88 eV per atom